A plane-wave DFT calculation with GGA-PBE was carried out for a geometry-optimized CuPtCO5 structure.

Unit cell a=5.202 b=5.202 c=7.059 alpha=108.51 beta=108.51 gamma=97.64
Fractional positions:
Cu  0.101  0.899  0.750
Cu  0.899  0.101  0.250
Pt  0.000  0.500  0.000
Pt  0.500  0.000  0.500
C  0.432  0.568  0.750
C  0.568  0.432  0.250
O  0.131  0.869  0.250
O  0.286  0.680  0.899
O  0.288  0.323  0.149
O  0.320  0.714  0.601
O  0.323  0.288  0.649
O  0.677  0.712  0.351
O  0.680  0.286  0.399
O  0.712  0.677  0.851
O  0.714  0.320  0.101
O  0.869  0.131  0.750

* Fermi-level density of states: 1.59 states/eV/cell
* space-group type: No. 15
* raw formation energy: -13.98 kcal/mol of atoms
* volume: 82.92 Å³/f.u.

---

A plane-wave DFT calculation with GGA-PBE was carried out for a geometry-optimized SrZr2Te structure.

Unit cell a=6.218 b=6.218 c=6.218 alpha=137.68 beta=137.68 gamma=61.40
Fractional positions:
Sr  0.000  0.000  0.000
Zr  0.250  0.750  0.500
Zr  0.750  0.250  0.500
Te  0.500  0.500  0.000

* Fermi-level density of states: 5.72 states/eV/cell
* space-group type: No. 139
* raw formation energy: 0.34 kcal/mol of atoms
* volume: 107.77 Å³/f.u.

---

A plane-wave DFT calculation with GGA-PBE was carried out for a geometry-optimized IrSN2O structure.

Unit cell a=3.805 b=3.805 c=3.286 alpha=90.00 beta=90.00 gamma=90.00
Fractional positions:
Ir  0.000  0.000  0.000
S  0.500  0.500  0.500
N  0.000  0.500  0.500
N  0.500  0.000  0.500
O  0.500  0.500  0.000

* Fermi-level density of states: 4.71 states/eV/cell
* space-group type: No. 123
* raw formation energy: 40.01 kcal/mol of atoms
* volume: 47.57 Å³/f.u.

---

A plane-wave DFT calculation with GGA-PBE was carried out for a geometry-optimized PmNd15Y4 structure.

Unit cell a=5.181 b=5.181 c=25.798 alpha=90.00 beta=90.00 gamma=90.00
Fractional positions:
Pm  0.000  0.000  0.000
Nd  0.000  0.500  0.101
Nd  0.000  0.500  0.300
Nd  0.000  0.500  0.500
Nd  0.000  0.500  0.700
Nd  0.000  0.500  0.899
Nd  0.500  0.000  0.101
Nd  0.500  0.000  0.300
Nd  0.500  0.000  0.500
Nd  0.500  0.000  0.700
Nd  0.500  0.000  0.899
Nd  0.500  0.500  0.000
Nd  0.500  0.500  0.201
Nd  0.500  0.500  0.400
Nd  0.500  0.500  0.600
Nd  0.500  0.500  0.799
Y  0.000  0.000  0.201
Y  0.000  0.000  0.400
Y  0.000  0.000  0.600
Y  0.000  0.000  0.799

* Fermi-level density of states: 28.24 states/eV/cell
* space-group type: No. 123
* ΔH_f (0 K): 10 meV/atom
* volume: 692.53 Å³/f.u.

---

A plane-wave DFT calculation with GGA-PBE was carried out for a geometry-optimized TaRu structure.

Unit cell a=5.365 b=5.365 c=6.336 alpha=108.79 beta=108.79 gamma=34.68
Fractional positions:
Ta  0.000  0.000  0.000
Ta  0.331  0.331  0.190
Ta  0.669  0.669  0.810
Ru  0.000  0.000  0.500
Ru  0.338  0.338  0.694
Ru  0.662  0.662  0.306

* Fermi-level density of states: 7.13 states/eV/cell
* space-group type: No. 12
* ΔH_f (0 K): -140 meV/atom
* volume: 32.57 Å³/f.u.

---

A plane-wave DFT calculation with GGA-PBE was carried out for a geometry-optimized Pm2SmEr2Tm structure.

Unit cell a=6.097 b=18.255 c=3.537 alpha=90.00 beta=90.00 gamma=90.00
Fractional positions:
Pm  0.166  0.156  0.000
Pm  0.334  0.656  0.500
Pm  0.666  0.344  0.500
Pm  0.834  0.844  0.000
Sm  0.000  0.500  0.500
Sm  0.500  0.000  0.000
Er  0.165  0.344  0.000
Er  0.335  0.844  0.500
Er  0.665  0.156  0.500
Er  0.835  0.656  0.000
Tm  0.000  0.000  0.500
Tm  0.500  0.500  0.000

* Fermi-level density of states: 17.64 states/eV/cell
* space-group type: No. 58
* ΔH_f (0 K): 104 meV/atom
* volume: 196.85 Å³/f.u.

---

A plane-wave DFT calculation with GGA-PBE was carried out for a geometry-optimized SrLaZn2 structure.

Unit cell a=9.153 b=9.153 c=9.153 alpha=25.86 beta=25.86 gamma=25.86
Fractional positions:
Sr  0.000  0.000  0.000
La  0.500  0.500  0.500
Zn  0.246  0.246  0.246
Zn  0.754  0.754  0.754

* Fermi-level density of states: 4.69 states/eV/cell
* space-group type: No. 166
* ΔH_f (0 K): -32 meV/atom
* volume: 128.45 Å³/f.u.

---

What is the formula in the fifth record?
TaRu